Record 1
TmHgGe after structural relaxation. Source: OQMD via LeMat-Bulk, functional PBE.

Summary:
VASP energy: -3.405 eV per atom

The structure in CIF format:
```
data_TmHgGe
_chemical_formula_sum 'Tm4 Hg4 Ge4'
_cell_length_a 6.675
_cell_length_b 6.675
_cell_length_c 6.675
_cell_angle_alpha 90.00
_cell_angle_beta 90.00
_cell_angle_gamma 90.00
_space_group_name_H-M_alt 'F -4 3 m'
_space_group_IT_number 216
_space_group_name_Hall 'F -4 2 3'
loop_
_atom_site_label
_atom_site_type_symbol
_atom_site_fract_x
_atom_site_fract_y
_atom_site_fract_z
Tm1 Tm 0.000 0.000 0.000
Hg1 Hg 0.000 0.000 0.500
Ge1 Ge 0.250 0.250 0.750
```

Record 2
TmHgGe after structural relaxation. Source: OQMD via LeMat-Bulk, functional PBE.

Summary:
VASP energy: -3.321 eV per atom

The structure in CIF format:
```
data_TmHgGe
_chemical_formula_sum 'Tm4 Hg4 Ge4'
_cell_length_a 6.813
_cell_length_b 6.813
_cell_length_c 6.813
_cell_angle_alpha 90.00
_cell_angle_beta 90.00
_cell_angle_gamma 90.00
_space_group_name_H-M_alt 'F -4 3 m'
_space_group_IT_number 216
_space_group_name_Hall 'F -4 2 3'
loop_
_atom_site_label
_atom_site_type_symbol
_atom_site_fract_x
_atom_site_fract_y
_atom_site_fract_z
Tm1 Tm 0.000 0.000 0.000
Hg1 Hg 0.250 0.250 0.250
Ge1 Ge 0.250 0.250 0.750
```

Record 3
HgGeW after structural relaxation. Source: OQMD via LeMat-Bulk, functional PBE.

Summary:
Distance to the lowest polymorph of the same formula: 0.000 eV per atom

The structure in CIF format:
```
data_HgGeW
_chemical_formula_sum 'Hg4 Ge4 W4'
_cell_length_a 6.353
_cell_length_b 6.353
_cell_length_c 6.353
_cell_angle_alpha 90.00
_cell_angle_beta 90.00
_cell_angle_gamma 90.00
_space_group_name_H-M_alt 'F -4 3 m'
_space_group_IT_number 216
_space_group_name_Hall 'F -4 2 3'
loop_
_atom_site_label
_atom_site_type_symbol
_atom_site_fract_x
_atom_site_fract_y
_atom_site_fract_z
Hg1 Hg 0.000 0.000 0.000
Ge1 Ge 0.000 0.000 0.500
W1 W 0.250 0.250 0.750
```

Number 1: mass density 9.88 g/cm3. Number 2: mass density 9.29 g/cm3. Number 3: mass density 11.84 g/cm3.